1.
! RhSe2I | Alexandria | PBE | optimized geometry; values from VASP
&SYSTEM
  ibrav = 0, nat = 4, ntyp = 3
/
ATOMIC_SPECIES
Rh 102.91 Rh.upf
Se 78.96 Se.upf
I 126.90 I.upf
CELL_PARAMETERS angstrom
3.8563 0.0000 0.0000
-1.3468 4.5875 0.0000
-0.2618 -1.9510 6.8020
ATOMIC_POSITIONS crystal
Rh 0.0000 0.0000 0.0000
Se 0.0285 0.5557 0.1144
Se 0.5796 0.1931 0.2275
I 0.4238 0.8484 0.7214
! - Polymorph energy (0 for the lowest one): 0.079 eV/atom
! - Total energy: -0.305 Ry/atom
! - Energy relative to the elements, uncorrected: -0.7 eV/f.u.

***

2.
! RhSe2I | Alexandria | PBE | optimized geometry; values from VASP
&SYSTEM
  ibrav = 0, nat = 4, ntyp = 3
/
ATOMIC_SPECIES
Rh 102.91 Rh.upf
Se 78.96 Se.upf
I 126.90 I.upf
CELL_PARAMETERS angstrom
4.9232 0.0000 0.0000
0.0000 3.7423 0.0000
-1.6666 0.0000 5.3603
ATOMIC_POSITIONS crystal
Rh 0.0000 0.0000 0.0000
Se 0.3487 0.5000 0.1350
Se 0.6513 0.5000 0.8650
I 0.0000 0.0000 0.5000
! - Polymorph energy (0 for the lowest one): 0.067 eV/atom
! - Total energy: -0.305 Ry/atom
! - Energy relative to the elements, uncorrected: -0.8 eV/f.u.

***

3.
! RhSe2I | Alexandria | PBE | optimized geometry; values from VASP
&SYSTEM
  ibrav = 0, nat = 8, ntyp = 3
/
ATOMIC_SPECIES
Rh 102.91 Rh.upf
Se 78.96 Se.upf
I 126.90 I.upf
CELL_PARAMETERS angstrom
-3.4892 3.4892 4.6092
3.4892 -3.4892 4.6092
3.4892 3.4892 -4.6092
ATOMIC_POSITIONS crystal
Rh 0.0000 0.0000 0.0000
Rh 0.7500 0.2500 0.5000
Se 0.0353 0.6250 0.9103
Se 0.3750 0.2853 0.4103
Se 0.7147 0.1250 0.0897
Se 0.8750 0.9647 0.5897
I 0.2500 0.7500 0.5000
I 0.5000 0.5000 0.0000
! - Polymorph energy (0 for the lowest one): 0.307 eV/atom
! - Total energy: -0.288 Ry/atom
! - Energy relative to the elements, uncorrected: 0.2 eV/f.u.

***

4.
! RhSe2I | Alexandria | PBE | optimized geometry; values from VASP
&SYSTEM
  ibrav = 0, nat = 4, ntyp = 3
/
ATOMIC_SPECIES
Rh 102.91 Rh.upf
Se 78.96 Se.upf
I 126.90 I.upf
CELL_PARAMETERS angstrom
1.9450 1.1230 7.9129
-1.9450 1.1230 7.9129
0.0000 -2.2459 7.9129
ATOMIC_POSITIONS crystal
Rh 0.0000 0.0000 0.0000
Se 0.3827 0.3827 0.3827
Se 0.6173 0.6173 0.6173
I 0.5000 0.5000 0.5000
! - Polymorph energy (0 for the lowest one): 0.000 eV/atom
! - Total energy: -0.310 Ry/atom
! - Energy relative to the elements, uncorrected: -1.0 eV/f.u.

***

Which of these has the lowest energy relative to the elements, uncorrected? number 4

***

What is the total energy in the second record? -0.305 Ry/atom

***

Among the records above, which one has the lowest total energy? number 4